Below is a relaxed Ba4IrCl crystal, with properties calculated at the GGA-PBE level.

For the distance to the lowest polymorph of the same formula, the calculation gives 1.229 eV/atom. For the formation energy from raw total energies, the calculation gives 0.5315 eV per atom. The space-group type is F-43m.

abc: 6.920 6.920 6.920
angles: 60.00 60.00 60.00
Fractional positions:
1 Ba 0.877 0.374 0.374
2 Ba 0.374 0.374 0.877
3 Ba 0.374 0.877 0.374
4 Ba 0.374 0.374 0.374
5 Ir 0.000 0.000 0.000
6 Cl 0.750 0.750 0.750

***

Below is a relaxed TiGaCu2 crystal, with properties calculated at the GGA-PBE level.

Its formation enthalpy at 0 K is -0.240 eV per atom. The space-group type is Fm-3m.

abc: 4.261 4.261 4.261
angles: 60.00 60.00 60.00
Fractional positions:
1 Cu 0.250 0.250 0.250
2 Cu 0.750 0.750 0.750
3 Ga 0.000 0.000 0.000
4 Ti 0.500 0.500 0.500

***

Below is a relaxed Nd3InAg2 crystal, with properties calculated at the GGA-PBE level.

Its formation enthalpy at 0 K is -0.335 eV per atom. The space-group type is P4/mmm.

abc: 3.729 3.729 11.799
angles: 90.00 90.00 90.00
Fractional positions:
1 Nd 0.000 0.000 0.000
2 Nd 0.000 0.000 0.675
3 Nd 0.000 0.000 0.325
4 In 0.500 0.500 0.500
5 Ag 0.500 0.500 0.839
6 Ag 0.500 0.500 0.161

***

Below is a relaxed ScCoRh2 crystal, with properties calculated at the GGA-PBE level.

Its formation enthalpy at 0 K is -0.344 eV per atom. The space-group type is Cm.

abc: 5.139 5.139 4.597
angles: 64.56 64.56 32.55
Each line ends with the local moment (μB).
Fractional positions:
1 Co 0.257 0.257 0.166  1.51
2 Rh 0.996 0.996 0.086  0.17
3 Rh 0.744 0.744 0.679  0.22
4 Sc 0.503 0.503 0.569  -0.11

***

Below is a relaxed SmHfAlIr2 crystal, with properties calculated at the GGA-PBE level.

Its formation enthalpy at 0 K is -0.872 eV per atom. The space-group type is I-4m2.

abc: 4.144 4.144 6.586
angles: 108.33 108.33 90.00
Fractional positions:
1 Sm 0.000 0.000 0.000
2 Hf 0.250 0.750 0.500
3 Al 0.750 0.250 0.500
4 Ir 0.613 0.613 0.225
5 Ir 0.387 0.387 0.775

***

Below is a relaxed Dy2Cu3Si crystal, with properties calculated at the GGA-PBE level.

For the formation energy from raw total energies, the calculation gives -0.4325 eV per atom. The space-group type is Fmmm.

abc: 5.549 5.549 8.151
angles: 106.76 106.76 98.80
Fractional positions:
1 Dy 0.250 0.750 0.500
2 Dy 0.760 0.760 0.000
3 Dy 0.750 0.250 0.500
4 Dy 0.240 0.240 0.000
5 Cu 0.340 0.829 0.169
6 Cu 0.171 0.660 0.831
7 Cu 0.660 0.171 0.831
8 Cu 0.829 0.340 0.169
9 Cu 0.170 0.170 0.340
10 Cu 0.830 0.830 0.660
11 Si 0.665 0.665 0.330
12 Si 0.335 0.335 0.670

***

Below is a relaxed Ta2FeRuAu crystal, with properties calculated at the GGA-PBE level.

Its formation enthalpy at 0 K is 2.369 eV per atom. The space-group type is P4/mmm.

abc: 4.852 4.818 4.852
angles: 90.00 90.00 90.00
Each line ends with the local moment (μB).
Fractional positions:
1 Ru 0.000 0.500 0.000  1.00
2 Au 0.000 0.000 0.000  0.04
3 Fe 0.500 0.500 0.500  0.06
4 Ta 0.000 0.000 0.500  -0.13
5 Ta 0.500 0.000 0.000  -0.11

***

Below is a relaxed SrH crystal, with properties calculated at the GGA-PBE level.

The space-group type is Amm2. As for the total energy: -2.83 eV per atom.

abc: 3.863 11.194 6.405
angles: 90.00 90.00 90.00
Fractional positions:
1 Sr 0.000 0.331 0.790
2 Sr 0.000 0.669 0.790
3 Sr 0.000 0.831 0.290
4 Sr 0.000 0.169 0.290
5 Sr 0.500 0.000 0.761
6 Sr 0.500 0.500 0.261
7 H 0.500 0.785 0.566
8 H 0.500 0.215 0.566
9 H 0.500 0.285 0.066
10 H 0.500 0.715 0.066
11 H 0.000 0.000 0.528
12 H 0.000 0.500 0.028

***

no.,density (Mg/m³)
1,5.51
2,7.43
3,7.73
4,8.80
5,12.14
6,8.12
7,10.48
8,3.19